Record 1
Sr2InAs2: optimized geometry, GGA-PBE.

Output
The excess energy over the best structure of this formula in the dataset comes out at 12 meV/atom. Its energy of formation is -4.11 eV per formula unit.

abc: 7.9634 7.9634 4.4989
angles: 90.00 90.00 90.00
Fractional positions:
Sr (0.1791, 0.3209, 0.0000)
Sr (0.3209, 0.8209, 0.0000)
Sr (0.6791, 0.1791, 0.0000)
Sr (0.8209, 0.6791, 0.0000)
In (0.0000, 0.0000, 0.5000)
In (0.5000, 0.5000, 0.5000)
As (0.1133, 0.6133, 0.5000)
As (0.3867, 0.1133, 0.5000)
As (0.6133, 0.8867, 0.5000)
As (0.8867, 0.3867, 0.5000)


Record 2
YZrH2O: optimized geometry, GGA-PBE.

Output
The total energy is -5.87 eV per atom.

abc: 3.5554 3.5554 6.7284
angles: 90.00 90.00 90.00
Fractional positions:
Y (0.0000, 0.0000, 0.0000)
Zr (0.0000, 0.0000, 0.5000)
H (0.0000, 0.5000, 0.5000)
H (0.5000, 0.0000, 0.5000)
O (0.5000, 0.5000, 0.0000)


Record 3
CrSn2N: optimized geometry, GGA-PBE.

Output
For the energy relative to the elements, uncorrected, the calculation gives 0.836 eV per atom.

abc: 5.6939 5.6939 5.6939
angles: 111.65 111.65 105.19
Fractional positions:
Cr (0.0000, 0.0000, 0.0000)
Cr (0.7500, 0.2500, 0.5000)
Sn (0.1840, 0.6250, 0.0590)
Sn (0.3750, 0.4340, 0.5590)
Sn (0.5660, 0.1250, 0.9410)
Sn (0.8750, 0.8160, 0.4410)
N (0.2500, 0.7500, 0.5000)
N (0.5000, 0.5000, 0.0000)


Record 4
K2HoErO4: optimized geometry, GGA-PBE.

Output
For the energy relative to the elements, uncorrected, the calculation gives -2.791 eV per atom.

abc: 5.9822 3.4537 6.5643
angles: 90.00 107.68 90.00
Fractional positions:
K (0.0000, 0.0000, 0.0000)
K (0.5000, 0.5000, 0.0000)
Ho (0.0000, 0.5000, 0.5000)
Er (0.5000, 0.0000, 0.5000)
O (0.2291, 0.0000, 0.6843)
O (0.2731, 0.5000, 0.3160)
O (0.7269, 0.5000, 0.6840)
O (0.7709, 0.0000, 0.3157)


Record 5
ZnAgPdAu2: optimized geometry, GGA-PBE.

Output
Its energy of formation is 3.69 eV per formula unit.

abc: 5.0673 5.0673 5.0467
angles: 90.00 90.00 90.00
Fractional positions:
Zn (0.0000, 0.0000, 0.0000)
Ag (0.5000, 0.5000, 0.0000)
Pd (0.5000, 0.5000, 0.5000)
Au (0.0000, 0.5000, 0.5000)
Au (0.5000, 0.0000, 0.5000)


Record 6
Pm6ZnTc2: optimized geometry, GGA-PBE.

Output
Its energy of formation is -0.32 eV per formula unit.

abc: 8.6695 8.6695 8.6695
angles: 111.22 110.96 106.28
Fractional positions:
Pm (0.0208, 0.2279, 0.7929)
Pm (0.1875, 0.2818, 0.4692)
Pm (0.1875, 0.7182, 0.9057)
Pm (0.3160, 0.0262, 0.7103)
Pm (0.3160, 0.6057, 0.2897)
Pm (0.4350, 0.2279, 0.2071)
Pm (0.5650, 0.7721, 0.7929)
Pm (0.6840, 0.3943, 0.7103)
Pm (0.6840, 0.9738, 0.2897)
Pm (0.8125, 0.2818, 0.0943)
Pm (0.8125, 0.7182, 0.5308)
Pm (0.9792, 0.7721, 0.2071)
Zn (0.0000, 0.0000, 0.0000)
Zn (0.5000, 0.5000, 0.0000)
Tc (0.1137, 0.6137, 0.5000)
Tc (0.3761, 0.0000, 0.3761)
Tc (0.6239, 0.0000, 0.6239)
Tc (0.8863, 0.3863, 0.5000)


Record 7
Mg5Ga4Au4: optimized geometry, GGA-PBE.

Output
Its energy of formation is -4.78 eV per formula unit.

abc: 7.9929 7.9929 7.9929
angles: 94.00 94.00 149.37
Fractional positions:
Mg (0.0000, 0.0000, 0.0000)
Mg (0.2992, 0.6277, 0.9269)
Mg (0.3723, 0.2992, 0.6715)
Mg (0.6277, 0.7008, 0.3285)
Mg (0.7008, 0.3723, 0.0731)
Ga (0.1073, 0.4151, 0.5224)
Ga (0.4151, 0.8927, 0.3078)
Ga (0.5849, 0.1073, 0.6922)
Ga (0.8927, 0.5849, 0.4776)
Au (0.0680, 0.7618, 0.8298)
Au (0.2382, 0.0680, 0.3062)
Au (0.7618, 0.9320, 0.6938)
Au (0.9320, 0.2382, 0.1702)


Record 8
NdRuC2: optimized geometry, GGA-PBE.

Output
The excess energy over the best structure of this formula in the dataset comes out at 5 meV/atom. Its energy of formation is -0.47 eV per formula unit.

abc: 3.9528 3.9370 3.9370
angles: 74.41 90.00 90.00
Fractional positions:
Nd (0.0000, 0.0000, 0.0000)
Ru (0.5000, 0.3846, 0.3846)
C (0.5000, 0.5601, 0.8526)
C (0.5000, 0.8526, 0.5601)


Record 9
InGe2SI: optimized geometry, GGA-PBE.

Output
For the energy relative to the elements, uncorrected, the calculation gives 1.085 eV per atom.

abc: 5.4703 5.4703 6.2981
angles: 90.00 90.00 90.00
Fractional positions:
In (0.0000, 0.0000, 0.0000)
Ge (0.0000, 0.5000, 0.5000)
Ge (0.5000, 0.0000, 0.5000)
S (0.5000, 0.5000, 0.0000)
I (0.0000, 0.0000, 0.5000)


Record 10
Pb8Br: optimized geometry, GGA-PBE.

Output
For the energy relative to the elements, uncorrected, the calculation gives -0.061 eV per atom.

abc: 7.8707 7.8707 7.8707
angles: 96.09 96.09 141.99
Fractional positions:
Pb (0.0000, 0.3362, 0.3362)
Pb (0.0000, 0.6638, 0.6638)
Pb (0.3273, 0.3273, 0.6546)
Pb (0.3273, 0.6727, 0.0000)
Pb (0.3362, 0.0000, 0.3362)
Pb (0.6638, 0.0000, 0.6638)
Pb (0.6727, 0.3273, 0.0000)
Pb (0.6727, 0.6727, 0.3454)
Br (0.0000, 0.0000, 0.0000)


Record 11
MnGaAg3: optimized geometry, GGA-PBE.

Output
The excess energy over the best structure of this formula in the dataset comes out at 0 meV/atom. Its energy of formation is 3.42 eV per formula unit.

abc: 4.8824 4.8824 4.8824
angles: 90.00 90.00 90.00
Fractional positions:
Mn (0.0000, 0.0000, 0.0000)
Ga (0.5000, 0.5000, 0.5000)
Ag (0.0000, 0.5000, 0.5000)
Ag (0.5000, 0.0000, 0.5000)
Ag (0.5000, 0.5000, 0.0000)


Record 12
BaGeP2O: optimized geometry, GGA-PBE.

Output
The excess energy over the best structure of this formula in the dataset comes out at 0 meV/atom. For the energy relative to the elements, uncorrected, the calculation gives -0.288 eV per atom.

abc: 5.0280 5.0280 4.0646
angles: 90.00 90.00 90.00
Fractional positions:
Ba (0.0000, 0.0000, 0.0000)
Ge (0.5000, 0.5000, 0.5000)
P (0.0000, 0.5000, 0.5000)
P (0.5000, 0.0000, 0.5000)
O (0.5000, 0.5000, 0.0000)